Computed, not measured: an optimized crystal structure of NaRuNF2 at the PBE-GGA level of DFT.

Cell lengths 3.907, 3.907, 4.437 Å; angles 90.00, 90.00, 90.00 degrees
Space group P4/mmm (No. 123)
Asymmetric unit:
Na 0.000 0.000 0.000 x1
Ru 0.500 0.500 0.500 x1
N 0.000 0.000 0.500 x1
F 0.000 0.500 0.000 x2

Properties
Excess energy over the best structure of this formula in the dataset, meV/atom: 1366

---

Computed, not measured: an optimized crystal structure of PmDyTlRh at the PBE-GGA level of DFT.

Cell lengths 7.329, 7.329, 7.329 Å; angles 90.00, 90.00, 90.00 degrees
Space group F-43m (No. 216)
Asymmetric unit:
Pm 0.000 0.000 0.000 x4
Dy 0.000 0.000 0.500 x4
Tl 0.250 0.250 0.250 x4
Rh 0.250 0.250 0.750 x4

Properties
Excess energy over the best structure of this formula in the dataset, meV/atom: 126
Formation energy from the elements, eV per atom: -0.447

---

Computed, not measured: an optimized crystal structure of RbBaHg2 at the PBE-GGA level of DFT.

Cell lengths 4.7857, 4.7857, 28.0299 Å; angles 90.00, 90.00, 120.00 degrees
Space group R3m (No. 160, hexagonal axes)
Asymmetric unit:
Rb 0.0000 0.0000 0.0000 x3
Ba 0.0000 0.0000 0.8312 x3
Hg 0.0000 0.0000 0.2418 x3
Hg 0.0000 0.0000 0.4225 x3

Properties
Formation energy from the elements, eV per atom: -0.246

---

Computed, not measured: an optimized crystal structure of ScHg2Ir at the PBE-GGA level of DFT.

Cell lengths 3.092, 4.818, 5.430 Å; angles 90.00, 103.79, 90.00 degrees
Space group P2/m (No. 10)
Asymmetric unit:
Sc 0.000 0.000 0.000 x1
Hg 0.354 0.500 0.737 x2
Ir 0.500 0.000 0.500 x1

Properties
Excess energy over the best structure of this formula in the dataset, meV/atom: 224
Formation energy from the elements, eV per atom: -0.057

---

Computed, not measured: an optimized crystal structure of CaFeRu2 at the PBE-GGA level of DFT.

Cell lengths 6.335, 6.335, 6.335 Å; angles 90.00, 90.00, 90.00 degrees
Space group F-43m (No. 216)
Asymmetric unit:
Ca 0.000 0.000 0.000 x4
Fe 0.250 0.250 0.750 x4
Ru 0.000 0.000 0.500 x4
Ru 0.250 0.250 0.250 x4

Properties
Formation energy from the elements, eV per atom: 0.511

---

Computed, not measured: an optimized crystal structure of HfReAs2 at the PBE-GGA level of DFT.

Cell lengths 3.1019, 3.1019, 27.2542 Å; angles 90.00, 90.00, 120.00 degrees
Space group R-3m (No. 166, hexagonal axes)
Asymmetric unit:
Hf 0.0000 0.0000 0.0000 x3
Re 0.0000 0.0000 0.5000 x3
As 0.0000 0.0000 0.1000 x6

Properties
Excess energy over the best structure of this formula in the dataset, meV/atom: 233
Formation energy from the elements, eV per atom: 0.076